Version w
DFT (GGA-PBE) results for a geometry-optimized RbBaTmS3 structure.

Lattice parameters (Å, degrees): 10.1493 10.1493 11.8504 90.00 90.00 156.49
Fractional positions:
Rb 0.3737 0.6263 0.7500
Rb 0.6263 0.3737 0.2500
S 0.0017 0.9983 0.7500
S 0.4100 0.5900 0.4978
S 0.4100 0.5900 0.0022
S 0.5900 0.4100 0.9978
S 0.5900 0.4100 0.5022
S 0.9983 0.0017 0.2500
Ba 0.3918 0.6082 0.2500
Ba 0.6082 0.3918 0.7500
Tm 0.0000 0.0000 0.0000
Tm 0.0000 0.0000 0.5000

Values from the calculation:
Symmetry = Cmcm (63)
M_tot = 0.017 μB per cell



Version x
DFT (GGA-PBE) results for a geometry-optimized RbBaTmS3 structure.

Lattice parameters (Å, degrees): 12.9645 4.1165 13.4912 90.00 90.00 90.00
Fractional positions:
Tm 0.3484 0.2500 0.7453
Tm 0.1516 0.7500 0.2453
Tm 0.6516 0.7500 0.2547
Tm 0.8484 0.2500 0.7547
Ba 0.8715 0.2500 0.0825
Ba 0.3715 0.2500 0.4175
Ba 0.6285 0.7500 0.5825
Ba 0.1285 0.7500 0.9175
S 0.3694 0.7500 0.8728
S 0.1192 0.2500 0.1055
S 0.3808 0.7500 0.6055
S 0.1513 0.2500 0.7526
S 0.1306 0.2500 0.3728
S 0.3487 0.7500 0.2526
S 0.6513 0.2500 0.7474
S 0.8487 0.7500 0.2474
S 0.8694 0.7500 0.6272
S 0.8808 0.7500 0.8945
S 0.6306 0.2500 0.1272
S 0.6192 0.2500 0.3945
Rb 0.3845 0.2500 0.0722
Rb 0.6155 0.7500 0.9278
Rb 0.8845 0.2500 0.4278
Rb 0.1155 0.7500 0.5722

Values from the calculation:
Symmetry = Pnma (62)
M_tot = 0.004 μB per cell



Tell me which of them is the least stable. Sure, it is version w.



Version w
DFT (GGA-PBE) results for a geometry-optimized RbBaSmTe3 structure.

Lattice parameters (Å, degrees): 13.9634 4.6979 15.1177 90.00 90.00 90.00
Fractional positions:
Rb 0.1203 0.7500 0.4278
Rb 0.6203 0.7500 0.0722
Rb 0.3797 0.2500 0.9278
Rb 0.8797 0.2500 0.5722
Te 0.1225 0.2500 0.9030
Te 0.1300 0.2500 0.6215
Te 0.8775 0.7500 0.0970
Te 0.8878 0.7500 0.7541
Te 0.8700 0.7500 0.3785
Te 0.3700 0.7500 0.1215
Te 0.1122 0.2500 0.2459
Te 0.3775 0.7500 0.4030
Te 0.6122 0.2500 0.2541
Te 0.6300 0.2500 0.8785
Te 0.6225 0.2500 0.5970
Te 0.3878 0.7500 0.7459
Ba 0.3717 0.2500 0.5824
Ba 0.1283 0.7500 0.0824
Ba 0.8717 0.2500 0.9176
Ba 0.6283 0.7500 0.4176
Sm 0.6078 0.7500 0.7432
Sm 0.1078 0.7500 0.7568
Sm 0.3922 0.2500 0.2568
Sm 0.8922 0.2500 0.2432

Values from the calculation:
Symmetry = Pnma (62)
M_tot = 0.012 μB per cell



Version x
DFT (GGA-PBE) results for a geometry-optimized RbBaSmTe3 structure.

Lattice parameters (Å, degrees): 11.6207 11.6207 13.3667 90.00 90.00 156.55
Fractional positions:
Rb 0.8732 0.1268 0.7500
Rb 0.1268 0.8732 0.2500
Sm 0.5000 0.5000 0.5000
Sm 0.5000 0.5000 0.0000
Te 0.0945 0.9055 0.9969
Te 0.4927 0.5073 0.7500
Te 0.0945 0.9055 0.5031
Te 0.9055 0.0945 0.0031
Te 0.9055 0.0945 0.4969
Te 0.5073 0.4927 0.2500
Ba 0.0947 0.9053 0.7500
Ba 0.9053 0.0947 0.2500

Values from the calculation:
Symmetry = Cmcm (63)
M_tot = 0.020 μB per cell



Tell me which of them is the least stable. Sure, it is version x.



Version w
DFT (GGA-PBE) results for a geometry-optimized BaReW structure.

Lattice parameters (Å, degrees): 4.6138 4.6138 4.6138 60.00 60.00 60.00
Fractional positions:
Ba 0.0000 0.0000 0.0000
W 0.7500 0.7500 0.7500
Re 0.2500 0.2500 0.2500

Values from the calculation:
Symmetry = F-43m (216)
M_tot = 0.044 μB per cell



Version x
DFT (GGA-PBE) results for a geometry-optimized BaReW structure.

Lattice parameters (Å, degrees): 4.6900 4.6900 4.6900 60.00 60.00 60.00
Fractional positions:
Re 0.0000 0.0000 0.0000
W 0.7500 0.7500 0.7500
Ba 0.2500 0.2500 0.2500

Values from the calculation:
Symmetry = F-43m (216)
M_tot = 0.393 μB per cell



Tell me which of them is the least stable. Sure, it is version w.



Version w
DFT (GGA-PBE) results for a geometry-optimized BaTbYS3 structure.

Lattice parameters (Å, degrees): 4.3095 7.4476 10.5399 90.00 90.00 106.82
Last column: magnetic moment on the atom in μB.
Fractional positions:
S 0.0824 0.1648 0.7500  0.00
S 0.3699 0.7398 0.5424  0.00
S 0.6301 0.2602 0.4576  0.00
S 0.9176 0.8352 0.2500  0.00
S 0.6301 0.2602 0.0424  0.00
S 0.3699 0.7398 0.9576  0.00
Ba 0.7412 0.4824 0.7500  0.06
Ba 0.2588 0.5176 0.2500  0.06
Tb 0.4691 0.9382 0.7500  0.24
Tb 0.5309 0.0618 0.2500  0.24
Y 0.0000 0.0000 0.0000  0.15
Y 0.0000 0.0000 0.5000  0.16

Values from the calculation:
Symmetry = Cmcm (63)
M_tot = 1.755 μB per cell



Version x
DFT (GGA-PBE) results for a geometry-optimized BaTbYS3 structure.

Lattice parameters (Å, degrees): 4.2855 7.4494 10.5881 90.00 90.00 106.72
Last column: magnetic moment on the atom in μB.
Fractional positions:
Ba 0.2596 0.5191 0.2500  0.05
Ba 0.7404 0.4809 0.7500  0.05
Tb 0.0000 0.0000 0.5000  0.14
Tb 0.0000 0.0000 0.0000  0.13
S 0.6309 0.2617 0.0439  0.00
S 0.3691 0.7383 0.9561  0.00
S 0.0812 0.1624 0.7500  0.00
S 0.6309 0.2617 0.4561  0.00
S 0.9188 0.8376 0.2500  0.00
S 0.3691 0.7383 0.5439  0.00
Y 0.5325 0.0650 0.2500  0.16
Y 0.4675 0.9350 0.7500  0.16

Values from the calculation:
Symmetry = Cmcm (63)
M_tot = 1.501 μB per cell



Tell me which of them is the least stable. Sure, it is version w.